Here is an optimized crystal structure of La2Sm2DyY from Alexandria via LeMat-Bulk. Energies are from PBE.

The structure in POSCAR format:
```
La2Sm2DyY
1.0
5.7451 0.0000 0.0000
0.0000 7.1379 0.0000
0.0000 0.0000 9.9656
La Sm Dy Y
4 4 2 2
Direct
0.5000 0.0076 0.0003 La
0.0000 0.2577 0.1753 La
0.5000 0.5076 0.9997 La
0.0000 0.7577 0.8247 La
0.0000 0.2576 0.8348 Sm
0.5000 0.2577 0.3323 Sm
0.0000 0.7576 0.1652 Sm
0.5000 0.7577 0.6677 Sm
0.5000 0.2575 0.6582 Dy
0.5000 0.7575 0.3418 Dy
0.0000 0.0076 0.4999 Y
0.0000 0.5076 0.5001 Y
```

Values from the calculation:
As for the formation energy: 0.05 eV/atom. The space group is Pmma, No. 51. As for the electronic total energy: -0.368 Ry per atom.